No. 1
## HfMg2Ni2 (PBE-GGA)

Data for an optimized crystal structure of HfMg2Ni2.

Properties
* crystal system: tetragonal
* offset from the most stable computed form: 110 meV/atom
* calculated formation energy: -42 meV/atom
* raw total energy: -4.98 eV/atom
* Fermi-level density of states: 1.8 states/eV/f.u.

CIF file:
```
data_HfMg2Ni2
_symmetry_space_group_name_H-M 'P 4/m b m'
_symmetry_Int_Tables_number 127
_symmetry_space_group_name_Hall '-P 4 2ab'
_cell_length_a 7.523
_cell_length_b 7.523
_cell_length_c 2.785
_cell_angle_alpha 90.00
_cell_angle_beta 90.00
_cell_angle_gamma 90.00
loop_
_atom_site_label
_atom_site_type_symbol
_atom_site_fract_x
_atom_site_fract_y
_atom_site_fract_z
Hf1 Hf 0.000 0.000 0.000
Mg1 Mg 0.125 0.375 0.000
Ni1 Ni 0.176 0.676 0.500
```


No. 2
## HfMg2Ni9 (PBE-GGA)

Data for an optimized crystal structure of HfMg2Ni9.

Properties
* crystal system: trigonal
* calculated formation energy: -257 meV/atom
* raw total energy: -5.69 eV/atom
* Fermi-level density of states: 15.0 states/eV/f.u.

CIF file:
```
data_HfMg2Ni9
_symmetry_space_group_name_H-M 'R -3 m'
_symmetry_Int_Tables_number 166
_symmetry_space_group_name_Hall '-R 3 2"'
_cell_length_a 4.7662
_cell_length_b 4.7662
_cell_length_c 23.6296
_cell_angle_alpha 90.00
_cell_angle_beta 90.00
_cell_angle_gamma 120.00
loop_
_atom_site_label
_atom_site_type_symbol
_atom_site_fract_x
_atom_site_fract_y
_atom_site_fract_z
Hf1 Hf 0.0000 0.0000 0.0000
Mg1 Mg 0.0000 0.0000 0.1428
Ni1 Ni 0.0000 0.0000 0.3339
Ni2 Ni 0.0000 0.0000 0.5000
Ni3 Ni 0.0023 0.5012 0.9165
```


Which value of raw total energy does entry 1 give? -4.98 eV/atom


Look up the Fermi-level density of states of the second one. 15.0 states/eV/f.u.